DFT (PBE) results for a relaxed SmEr2CdAu4 crystal.

Unit cell a=8.766 b=8.766 c=8.766 alpha=33.23 beta=33.23 gamma=33.23
Positions (direct):
1 Sm 0.000 0.000 0.000
2 Er 0.242 0.242 0.242
3 Er 0.758 0.758 0.758
4 Cd 0.500 0.500 0.500
5 Au 0.121 0.121 0.121
6 Au 0.372 0.372 0.372
7 Au 0.628 0.628 0.628
8 Au 0.879 0.879 0.879

Computed properties:
formation energy from the elements = -747 meV per atom
crystal system = trigonal
VASP energy = -4.23 eV per atom